Record 1
First-principles (SCAN) data for MgBeW2 at its PBEsol-relaxed geometry, as listed in the Alexandria database.

```
MgBeW2
1.0
2.7109 0.0000 0.0033
0.0000 4.2649 0.0000
-0.7373 0.0000 5.1230
Be W Mg
1 2 1
direct
0.3944 0.0000 0.4794
0.9771 0.0000 0.0109
0.7716 0.5000 0.2614
0.3570 0.5000 0.7482
```

Summary:
Fermi-level density of states = 1.62 states/eV/f.u.
DFT formation energy = 0.3718 eV/atom
energy above the most stable polymorph in this dataset = 0.017 eV per atom
space-group type = Pm, No. 6

=====

Record 2
First-principles (SCAN) data for Zn3NiH at its PBEsol-relaxed geometry, as listed in the Alexandria database.

```
Zn3NiH
1.0
3.7684 0.0000 0.0000
0.0000 3.7684 0.0000
0.0000 0.0000 3.7684
Zn Ni H
3 1 1
direct
0.5000 0.0000 0.0000
0.0000 0.5000 0.0000
0.0000 0.0000 0.5000
0.5000 0.5000 0.5000
0.0000 0.0000 0.0000
```

Summary:
Fermi-level density of states = 1.00 states/eV/f.u.
raw total energy = -11.871 eV/atom
space-group type = Pm-3m, No. 221

=====

Record 3
First-principles (SCAN) data for YMnSe at its PBEsol-relaxed geometry, as listed in the Alexandria database.

```
YMnSe
1.0
-1.8098 -3.0805 -1.4966
1.6853 -0.2450 3.4791
-4.2239 1.4383 2.1474
Y Mn Se
1 1 1
direct
0.6667 0.3333 0.3598
0.0000 0.0000 0.9244
0.3333 0.6667 0.7158
```

Summary:
Fermi-level density of states = 1.87 states/eV/f.u.
space-group type = P3m1, No. 156
raw formation energy = -0.782 eV/atom

=====

Record 4
First-principles (SCAN) data for Cs2MnRh at its PBEsol-relaxed geometry, as listed in the Alexandria database.

```
Cs2MnRh
1.0
-0.8604 0.3797 5.4814
-4.6581 -2.0606 2.2329
0.2190 -4.5631 3.1719
Cs Rh Mn
2 1 1
direct
0.7500 0.7500 0.7500
0.2500 0.2500 0.2500
0.5000 0.5000 0.5000
0.0000 0.0000 0.0000
```

Summary:
Fermi-level density of states = 3.07 states/eV/f.u.
DFT formation energy = 1.1861 eV/atom
space-group type = Fm-3m, No. 225

=====

Record 5
First-principles (SCAN) data for MgSe2O5 at its PBEsol-relaxed geometry, as listed in the Alexandria database.

```
MgSe2O5
1.0
-2.7545 -3.9816 -3.5611
2.7200 -5.1233 3.6243
-8.2715 0.0752 6.3140
Mg O Se
4 20 8
direct
0.2500 0.5000 0.9393
0.7500 0.0000 0.5607
0.2500 0.0000 0.4393
0.7500 0.5000 0.0607
0.6645 0.6951 0.2088
0.7500 0.0000 0.9345
0.4523 0.1555 0.5667
0.0477 0.8445 0.5667
0.1645 0.6951 0.7912
0.3355 0.3049 0.7912
0.9523 0.3445 0.9333
0.2500 0.5000 0.5655
0.6645 0.8049 0.7088
0.5477 0.6555 0.9333
0.8355 0.1951 0.7088
0.3355 0.1951 0.2912
0.2500 0.0000 0.0655
0.0477 0.6555 0.0667
0.4523 0.3445 0.0667
0.8355 0.3049 0.2088
0.5477 0.8445 0.4333
0.7500 0.5000 0.4345
0.1645 0.8049 0.2912
0.9523 0.1555 0.4333
0.9705 0.3656 0.3455
0.0295 0.6344 0.6545
0.5295 0.6344 0.3455
0.4705 0.3656 0.6545
0.9705 0.1344 0.8455
0.4705 0.1344 0.1545
0.0295 0.8656 0.1545
0.5295 0.8656 0.8455
```

Summary:
Fermi-level density of states = 0.00 states/eV/f.u.
space-group type = Pbcn, No. 60
raw formation energy = -1.477 eV/atom

=====

Record 6
First-principles (SCAN) data for Zr2CdFe at its PBEsol-relaxed geometry, as listed in the Alexandria database.

```
Zr2CdFe
1.0
-2.2174 0.2931 2.3273
1.8890 -1.6756 2.0108
3.0300 5.9766 2.1341
Fe Cd Zr
1 1 2
direct
0.5000 0.5000 0.7674
0.0000 0.0000 0.5344
0.5000 0.5000 0.2429
0.0000 0.0000 0.9554
```

Summary:
Fermi-level density of states = 3.88 states/eV/f.u.
DFT formation energy = 0.0362 eV/atom
space-group type = P4mm, No. 99